[1]
Entry from the Alexandria database: a geometry-optimized Te3Ir structure (PBE).

Summary:
- space group = No. 221
- raw formation energy (eV/atom) = 0.631
- total moment (μB per cell) = 0.00

```
Te3Ir
1.0
5.332 0.000 0.000
0.000 5.332 0.000
0.000 0.000 5.332
Te Ir
3 1
direct
0.000 0.500 0.000
0.500 0.000 0.000
0.000 0.000 0.500
0.000 0.000 0.000
```


[2]
Entry from the Alexandria database: a geometry-optimized Mg14AlGa structure (PBE).

Summary:
- energy of formation from the pure elements (meV per atom) = -8
- space group = No. 38
- total moment (μB per cell) = 0.00

```
Mg14AlGa
1.0
-5.773 -1.714 1.977
4.298 -4.468 -1.320
3.186 0.251 9.522
Mg Ga Al
14 1 1
direct
0.668 0.332 0.255
0.837 0.662 0.500
0.164 0.336 0.736
0.335 0.665 0.000
0.664 0.836 0.736
0.835 0.165 0.000
0.668 0.332 0.745
0.333 0.167 0.000
0.833 0.667 0.000
0.338 0.163 0.500
0.168 0.832 0.254
0.664 0.836 0.264
0.164 0.336 0.264
0.168 0.832 0.746
0.331 0.669 0.500
0.831 0.169 0.500
```


[3]
Entry from the Alexandria database: a geometry-optimized Cs2CaP2S6 structure (PBE).

Summary:
- space group = No. 12
- raw formation energy (eV/atom) = -0.948
- total moment (μB per cell) = 0.00

```
Cs2CaP2S6
1.0
7.201 0.000 0.000
-3.600 6.276 -0.208
0.000 -3.930 7.009
Cs S Ca P
2 6 1 2
direct
0.732 0.463 0.221
0.268 0.537 0.779
0.219 0.965 0.222
0.254 0.035 0.778
0.767 0.534 0.728
0.781 0.035 0.778
0.233 0.466 0.272
0.746 0.965 0.222
0.500 0.000 0.500
0.952 0.904 0.831
0.048 0.096 0.169
```


[4]
Entry from the Alexandria database: a geometry-optimized La2Dy6Tm3Mg structure (PBE).

Summary:
- energy of formation from the pure elements (meV per atom) = 22
- space group = No. 12
- total moment (μB per cell) = 0.00

```
La2Dy6Tm3Mg
1.0
6.127 -0.003 0.007
-3.064 5.305 0.007
-1.039 -1.799 11.562
Dy La Tm Mg
6 2 3 1
direct
0.915 0.585 0.745
0.085 0.415 0.255
0.415 0.085 0.255
0.754 0.754 0.255
0.585 0.915 0.745
0.246 0.246 0.745
0.666 0.334 0.000
0.334 0.666 0.000
0.500 0.500 0.500
0.166 0.834 0.500
0.834 0.166 0.500
0.000 0.000 0.000
```


[5]
Entry from the Alexandria database: a geometry-optimized MnCrNi structure (PBE).

Summary:
- energy of formation from the pure elements (meV per atom) = 92
- space group = No. 44
- distance to the lowest polymorph of the same formula (eV per atom) = 0.019
- total moment (μB per cell) = 1.38

```
MnCrNi
1.0
-4.171 -1.276 -0.726
-2.714 -0.890 3.375
2.579 2.961 -2.033
Mn Ni Cr
1 1 1
direct
0.334 0.334 0.000
0.667 0.667 0.000
0.999 0.999 0.000
```


[6]
Entry from the Alexandria database: a geometry-optimized ZrCu structure (PBE).

Summary:
- energy of formation from the pure elements (meV per atom) = 252
- space group = No. 227
- total moment (μB per cell) = 2.04

```
ZrCu
1.0
4.631 0.000 0.000
2.316 4.011 0.000
2.316 1.337 3.781
Cu Zr
2 2
direct
0.000 0.000 0.000
0.250 0.250 0.250
0.750 0.750 0.750
0.500 0.500 0.500
```


Q: What is the total moment in the second record?
A: 0.00 μB per cell